[1]
A geometry-optimized Ce5Sm3Se8 structure, computed with GGA-PBE.

```
16
Lattice="4.186 2.417 6.860 -4.186 2.417 6.860 0.000 -4.833 6.860" Properties=species:S:1:pos:R:3 pbc="T T T"
Ce 0.000 0.000 0.000
Ce -2.093 -1.208 6.860
Ce -2.093 1.208 13.720
Ce 0.000 2.417 6.860
Ce 0.000 0.000 10.290
Sm -4.186 0.000 10.290
Sm -2.093 1.208 3.430
Sm 2.093 1.208 3.430
Se -2.101 -1.213 11.990
Se 0.000 0.000 5.126
Se 0.000 -2.426 8.590
Se -2.101 1.213 8.590
Se 2.101 -1.213 11.990
Se 0.000 2.426 11.990
Se 0.000 0.000 15.453
Se 2.101 1.213 8.590
```

Properties
The crystal system is trigonal. Its magnetization is 4.6 μB/cell. As for the density of states at the Fermi level: 1.975 states/eV/atom. The density is 7.11 g cm⁻³. As for the uncorrected formation energy: -1.826 eV/atom. For the total energy, the calculation gives -100.92 eV per cell.


[2]
A geometry-optimized CeSm3Se6 structure, computed with GGA-PBE.

```
20
Lattice="6.984 0.000 0.000 0.000 7.715 0.000 -6.860 0.000 10.854" Properties=species:S:1:pos:R:3 pbc="T T T"
Ce 0.000 0.000 0.000
Ce -3.430 3.858 5.427
Sm -3.060 0.801 8.153
Sm 0.369 3.056 2.726
Sm 0.062 0.000 5.427
Sm 3.492 3.858 0.000
Sm -0.245 4.659 8.128
Sm 3.185 6.914 2.701
Se -1.108 0.504 2.739
Se -4.538 3.354 8.166
Se 1.216 5.264 0.955
Se -2.214 6.309 6.382
Se 2.316 1.413 0.936
Se -1.114 2.444 6.363
Se 1.239 5.271 4.491
Se -2.191 6.302 9.918
Se 2.339 1.406 4.472
Se -1.091 2.452 9.899
Se 4.663 4.362 2.688
Se 1.233 7.211 8.115
```

Properties
For the energy above the most stable polymorph in this dataset, the calculation gives 73 meV per atom. The crystal system is monoclinic. Its magnetization is 2.1 μB/cell. As for the density of states at the Fermi level: 0.564 states/eV/atom. The density is 6.05 g cm⁻³. As for the uncorrected formation energy: -1.789 eV/atom. For the total energy, the calculation gives -117.77 eV per cell.


[3]
A geometry-optimized Ce4SmSe6 structure, computed with GGA-PBE.

```
22
Lattice="5.971 3.447 4.766 -5.971 3.447 4.766 0.000 -6.894 4.766" Properties=species:S:1:pos:R:3 pbc="T T T"
Ce -3.670 0.537 5.957
Ce 0.000 0.000 3.574
Ce -2.300 -2.910 8.340
Ce 1.370 -3.447 5.957
Ce -1.370 3.447 8.340
Ce 2.300 2.910 5.957
Ce 0.000 0.000 10.723
Ce 3.670 -0.537 8.340
Sm 0.000 0.000 0.000
Sm 0.000 0.000 7.149
Se -5.088 -1.319 7.868
Se -1.401 -5.066 6.429
Se -1.401 -1.829 5.485
Se -3.686 3.747 6.429
Se -0.883 2.128 5.485
Se -2.284 0.299 8.812
Se 2.284 -0.299 5.485
Se 0.883 -2.128 8.812
Se 3.686 -3.747 7.868
Se 1.401 1.829 8.812
Se 1.401 5.066 7.868
Se 5.088 1.319 6.429
```

Properties
The crystal system is trigonal. Its magnetization is 10.9 μB/cell. As for the density of states at the Fermi level: 2.651 states/eV/atom. The density is 6.68 g cm⁻³. As for the uncorrected formation energy: -1.685 eV/atom. For the total energy, the calculation gives -135.80 eV per cell.


[4]
A geometry-optimized CeSm3Se6 structure, computed with GGA-PBE.

```
20
Lattice="11.788 0.000 0.000 0.000 4.210 0.000 -3.890 0.000 11.450" Properties=species:S:1:pos:R:3 pbc="T T T"
Ce -0.213 1.052 2.198
Ce 8.111 3.157 9.253
Sm -0.397 1.052 6.684
Sm -0.127 3.157 11.437
Sm 3.821 1.052 3.806
Sm 4.077 3.157 7.644
Sm 8.025 1.052 0.014
Sm 8.295 3.157 4.767
Se -0.574 3.157 4.596
Se -2.406 1.052 11.034
Se -0.662 3.157 8.595
Se 2.135 3.157 2.568
Se 2.485 1.052 6.438
Se 5.230 1.052 1.315
Se 2.668 3.157 10.135
Se 5.413 3.157 5.012
Se 5.762 1.052 8.882
Se 8.560 1.052 2.855
Se 10.304 3.157 0.417
Se 8.471 1.052 6.854
```

Properties
For the energy above the most stable polymorph in this dataset, the calculation gives 0 meV per atom. The crystal system is monoclinic. Its magnetization is 2.0 μB/cell. As for the density of states at the Fermi level: 0.704 states/eV/atom. The density is 6.22 g cm⁻³. As for the uncorrected formation energy: -1.861 eV/atom. For the total energy, the calculation gives -119.23 eV per cell.


[5]
A geometry-optimized Sr2CeSmSe4 structure, computed with GGA-PBE.

```
8
Lattice="7.406 0.000 0.000 0.000 4.278 0.000 -2.469 0.000 7.165" Properties=species:S:1:pos:R:3 pbc="T T T"
Sr 0.000 0.000 0.000
Sr 3.703 2.139 0.000
Ce -1.235 2.139 3.582
Sm 2.468 0.000 3.582
Se 0.016 0.000 5.304
Se 1.248 2.139 1.875
Se 3.688 2.139 5.290
Se 4.920 0.000 1.861
```

Properties
The crystal system is monoclinic. Its magnetization is 1.5 μB/cell. As for the density of states at the Fermi level: 1.068 states/eV/atom. The density is 5.72 g cm⁻³. As for the uncorrected formation energy: -1.892 eV/atom. For the total energy, the calculation gives -43.09 eV per cell.


[6]
A geometry-optimized SrCeSm4Se8 structure, computed with GGA-PBE.

```
14
Lattice="4.344 2.508 7.154 -4.344 2.508 7.154 0.000 -5.016 7.154" Properties=species:S:1:pos:R:3 pbc="T T T"
Sr 0.000 0.000 0.000
Ce 0.000 0.000 13.439
Sm -2.200 -1.270 9.831
Sm 0.000 0.000 5.376
Sm 2.200 -1.270 9.831
Sm 0.000 2.540 9.831
Se 0.000 -2.378 11.544
Se -2.059 1.189 11.544
Se 0.000 0.000 8.217
Se -1.965 -1.135 15.326
Se 2.059 1.189 11.544
Se 0.000 0.000 18.520
Se 1.965 -1.135 15.326
Se 0.000 2.269 15.326
```

Properties
The crystal system is trigonal. Its magnetization is 1.4 μB/cell. As for the density of states at the Fermi level: 0.757 states/eV/atom. The density is 5.19 g cm⁻³. As for the uncorrected formation energy: -1.787 eV/atom. For the total energy, the calculation gives -79.38 eV per cell.


[7]
A geometry-optimized Tb2CeSmSe4 structure, computed with GGA-PBE.

```
8
Lattice="7.160 0.000 0.000 0.000 4.108 0.000 -2.358 0.000 6.828" Properties=species:S:1:pos:R:3 pbc="T T T"
Tb 0.000 0.000 0.000
Tb 3.580 2.054 0.000
Ce -1.179 2.054 3.414
Sm 2.401 0.000 3.414
Se 1.206 2.054 1.654
Se 0.030 0.000 5.182
Se 4.772 0.000 1.647
Se 3.596 2.054 5.175
```

Properties
The crystal system is monoclinic. Its magnetization is 1.0 μB/cell. As for the density of states at the Fermi level: 1.113 states/eV/atom. The density is 7.64 g cm⁻³. As for the uncorrected formation energy: -1.803 eV/atom. For the total energy, the calculation gives -48.28 eV per cell.


[8]
A geometry-optimized TbCe3Sm2Se6 structure, computed with GGA-PBE.

```
12
Lattice="3.604 -6.247 0.000 3.604 6.247 0.000 -2.407 0.000 6.861" Properties=species:S:1:pos:R:3 pbc="T T T"
Tb 0.000 0.000 0.000
Ce 2.400 4.141 3.430
Ce 2.400 0.000 3.430
Ce 2.400 -4.141 3.430
Sm 3.604 2.079 0.000
Sm 3.604 -2.079 0.000
Se 1.185 2.057 1.673
Se -0.034 0.000 5.174
Se 1.185 -2.057 1.673
Se 3.616 2.057 5.188
Se 4.835 0.000 1.687
Se 3.616 -2.057 5.188
```

Properties
The crystal system is monoclinic. Its magnetization is 3.0 μB/cell. As for the density of states at the Fermi level: 1.622 states/eV/atom. The density is 7.28 g cm⁻³. As for the uncorrected formation energy: -1.821 eV/atom. For the total energy, the calculation gives -74.63 eV per cell.


[9]
A geometry-optimized TbCe2SmSe5 structure, computed with GGA-PBE.

```
9
Lattice="5.160 0.000 0.000 0.000 5.160 0.000 0.000 0.000 10.921" Properties=species:S:1:pos:R:3 pbc="T T T"
Tb 0.000 0.000 0.000
Ce 2.580 2.580 2.088
Ce 2.580 2.580 8.833
Sm 0.000 0.000 5.460
Se 0.000 0.000 2.763
Se 0.000 0.000 8.157
Se 0.000 2.580 0.000
Se 2.580 0.000 0.000
Se 2.580 2.580 5.460
```

Properties
The crystal system is tetragonal. Its magnetization is 3.5 μB/cell. As for the density of states at the Fermi level: 2.145 states/eV/atom. The density is 5.62 g cm⁻³. As for the uncorrected formation energy: -1.285 eV/atom. For the total energy, the calculation gives -50.21 eV per cell.


[10]
A geometry-optimized TbCeSm2Se5 structure, computed with GGA-PBE.

```
9
Lattice="5.181 0.000 0.000 0.000 5.181 0.000 0.000 0.000 11.070" Properties=species:S:1:pos:R:3 pbc="T T T"
Tb 0.000 0.000 0.000
Ce 0.000 0.000 5.535
Sm 2.590 2.590 1.768
Sm 2.590 2.590 9.302
Se 0.000 0.000 2.753
Se 0.000 0.000 8.318
Se 0.000 2.590 0.000
Se 2.590 0.000 0.000
Se 2.590 2.590 5.535
```

Properties
The crystal system is tetragonal. Its magnetization is 1.3 μB/cell. As for the density of states at the Fermi level: 1.408 states/eV/atom. The density is 5.56 g cm⁻³. As for the uncorrected formation energy: -1.209 eV/atom. For the total energy, the calculation gives -48.31 eV per cell.